[1]
Fe2SiBr | PBE | optimized geometry

Calculated values
calculated total energy = -20.31 eV for the cell shown
raw formation energy = 927 meV/atom
SG = F-43m
V = 15.44 Å³/atom
magnetic moment = 5.1 μB/f.u.
calculated density = 5.906 g/cm3

Cell and atoms, written as CIF:
```
data_Fe2SiBr
_cell_length_a 4.4369
_cell_length_b 4.4369
_cell_length_c 4.4369
_cell_angle_alpha 60.00
_cell_angle_beta 60.00
_cell_angle_gamma 60.00
_symmetry_space_group_name_H-M 'P 1'
_symmetry_Int_Tables_number 1
_symmetry_space_group_name_Hall 'P 1'
loop_
_atom_site_label
_atom_site_type_symbol
_atom_site_fract_x
_atom_site_fract_y
_atom_site_fract_z
Fe1 Fe 0.0000 0.0000 0.0000
Fe2 Fe 0.2500 0.2500 0.2500
Si1 Si 0.7500 0.7500 0.7500
Br1 Br 0.5000 0.5000 0.5000
```


[2]
LiMn5Rh6 | PBE | optimized geometry

Calculated values
calculated total energy = -94.00 eV for the cell shown
SG = Cmmm
V = 13.65 Å³/atom
magnetic moment = 19.1 μB/f.u.
ΔH_f (0 K) = -2.13 eV/f.u.
calculated density = 9.117 g/cm3

Cell and atoms, written as CIF:
```
data_LiMn5Rh6
_cell_length_a 6.7496
_cell_length_b 6.7496
_cell_length_c 6.0020
_cell_angle_alpha 90.00
_cell_angle_beta 90.00
_cell_angle_gamma 143.21
_symmetry_space_group_name_H-M 'P 1'
_symmetry_Int_Tables_number 1
_symmetry_space_group_name_Hall 'P 1'
loop_
_atom_site_label
_atom_site_type_symbol
_atom_site_fract_x
_atom_site_fract_y
_atom_site_fract_z
Li1 Li 0.0000 0.0000 0.0000
Mn1 Mn 0.0000 0.0000 0.5000
Mn2 Mn 0.3344 0.6656 0.5000
Mn3 Mn 0.3361 0.6639 0.0000
Mn4 Mn 0.6639 0.3361 0.0000
Mn5 Mn 0.6656 0.3344 0.5000
Rh1 Rh 0.1680 0.8320 0.2497
Rh2 Rh 0.1680 0.8320 0.7503
Rh3 Rh 0.5000 0.5000 0.2519
Rh4 Rh 0.5000 0.5000 0.7481
Rh5 Rh 0.8320 0.1680 0.2497
Rh6 Rh 0.8320 0.1680 0.7503
```


[3]
HfAl2Cu | PBE | optimized geometry

Calculated values
calculated total energy = -22.98 eV for the cell shown
SG = P4/mmm
V = 16.19 Å³/atom
magnetic moment = 0.0 μB/f.u.
ΔH_f (0 K) = -1.44 eV/f.u.
calculated density = 7.592 g/cm3

Cell and atoms, written as CIF:
```
data_HfAl2Cu
_cell_length_a 4.0284
_cell_length_b 4.0284
_cell_length_c 3.9896
_cell_angle_alpha 90.00
_cell_angle_beta 90.00
_cell_angle_gamma 90.00
_symmetry_space_group_name_H-M 'P 1'
_symmetry_Int_Tables_number 1
_symmetry_space_group_name_Hall 'P 1'
loop_
_atom_site_label
_atom_site_type_symbol
_atom_site_fract_x
_atom_site_fract_y
_atom_site_fract_z
Hf1 Hf 0.0000 0.0000 0.0000
Al1 Al 0.0000 0.5000 0.5000
Al2 Al 0.5000 0.0000 0.5000
Cu1 Cu 0.5000 0.5000 0.0000
```


[4]
MnBe2Br | PBE | optimized geometry

Calculated values
calculated total energy = -15.38 eV for the cell shown
raw formation energy = 728 meV/atom
SG = Imm2
V = 13.46 Å³/atom
magnetic moment = 3.0 μB/f.u.
calculated density = 4.714 g/cm3

Cell and atoms, written as CIF:
```
data_MnBe2Br
_cell_length_a 4.8502
_cell_length_b 4.8502
_cell_length_c 4.8502
_cell_angle_alpha 144.01
_cell_angle_beta 125.45
_cell_angle_gamma 67.10
_symmetry_space_group_name_H-M 'P 1'
_symmetry_Int_Tables_number 1
_symmetry_space_group_name_Hall 'P 1'
loop_
_atom_site_label
_atom_site_type_symbol
_atom_site_fract_x
_atom_site_fract_y
_atom_site_fract_z
Mn1 Mn 0.0000 0.0000 0.0000
Be1 Be 0.2449 0.7449 0.5000
Be2 Be 0.4657 0.4657 0.0000
Br1 Br 0.7254 0.2254 0.5000
```


[5]
Sm4TmCd3 | PBE | optimized geometry

Calculated values
calculated total energy = -27.60 eV for the cell shown
SG = Pmmm
V = 28.66 Å³/atom
magnetic moment = 0.1 μB/f.u.
ΔH_f (0 K) = -1.50 eV/f.u.
calculated density = 8.021 g/cm3

Cell and atoms, written as CIF:
```
data_Sm4TmCd3
_cell_length_a 3.7776
_cell_length_b 5.4750
_cell_length_c 11.0866
_cell_angle_alpha 90.00
_cell_angle_beta 90.00
_cell_angle_gamma 90.00
_symmetry_space_group_name_H-M 'P 1'
_symmetry_Int_Tables_number 1
_symmetry_space_group_name_Hall 'P 1'
loop_
_atom_site_label
_atom_site_type_symbol
_atom_site_fract_x
_atom_site_fract_y
_atom_site_fract_z
Sm1 Sm 0.0000 0.0000 0.0000
Sm2 Sm 0.0000 0.0000 0.5000
Sm3 Sm 0.0000 0.5000 0.2393
Sm4 Sm 0.0000 0.5000 0.7607
Tm1 Tm 0.5000 0.5000 0.5000
Cd1 Cd 0.5000 0.0000 0.2538
Cd2 Cd 0.5000 0.0000 0.7462
Cd3 Cd 0.5000 0.5000 0.0000
```


[6]
GaTc3Ni | PBE | optimized geometry

Calculated values
calculated total energy = -31.10 eV for the cell shown
SG = Pm-3m
V = 17.95 Å³/atom
magnetic moment = 0.0 μB/f.u.
ΔH_f (0 K) = 8.80 eV/f.u.
calculated density = 7.815 g/cm3

Cell and atoms, written as CIF:
```
data_GaTc3Ni
_cell_length_a 4.4773
_cell_length_b 4.4773
_cell_length_c 4.4773
_cell_angle_alpha 90.00
_cell_angle_beta 90.00
_cell_angle_gamma 90.00
_symmetry_space_group_name_H-M 'P 1'
_symmetry_Int_Tables_number 1
_symmetry_space_group_name_Hall 'P 1'
loop_
_atom_site_label
_atom_site_type_symbol
_atom_site_fract_x
_atom_site_fract_y
_atom_site_fract_z
Ga1 Ga 0.0000 0.0000 0.0000
Tc1 Tc 0.0000 0.0000 0.5000
Tc2 Tc 0.0000 0.5000 0.0000
Tc3 Tc 0.5000 0.0000 0.0000
Ni1 Ni 0.5000 0.5000 0.5000
```


[7]
Tb2Nd4TmTh | PBE | optimized geometry

Calculated values
calculated total energy = -39.13 eV for the cell shown
SG = P4/mmm
V = 33.42 Å³/atom
magnetic moment = 0.0 μB/f.u.
ΔH_f (0 K) = 1.09 eV/f.u.
calculated density = 8.047 g/cm3

Cell and atoms, written as CIF:
```
data_Tb2Nd4TmTh
_cell_length_a 6.0395
_cell_length_b 6.0395
_cell_length_c 7.3303
_cell_angle_alpha 90.00
_cell_angle_beta 90.00
_cell_angle_gamma 90.00
_symmetry_space_group_name_H-M 'P 1'
_symmetry_Int_Tables_number 1
_symmetry_space_group_name_Hall 'P 1'
loop_
_atom_site_label
_atom_site_type_symbol
_atom_site_fract_x
_atom_site_fract_y
_atom_site_fract_z
Tb1 Tb 0.0000 0.0000 0.0000
Tb2 Tb 0.5000 0.5000 0.0000
Nd1 Nd 0.0000 0.5000 0.2536
Nd2 Nd 0.0000 0.5000 0.7464
Nd3 Nd 0.5000 0.0000 0.2536
Nd4 Nd 0.5000 0.0000 0.7464
Tm1 Tm 0.0000 0.0000 0.5000
Th1 Th 0.5000 0.5000 0.5000
```


[8]
YCuNi2B | PBE | optimized geometry

Calculated values
calculated total energy = -30.13 eV for the cell shown
SG = P4/mmm
V = 13.47 Å³/atom
magnetic moment = 0.0 μB/f.u.
ΔH_f (0 K) = -1.33 eV/f.u.
calculated density = 6.921 g/cm3

Cell and atoms, written as CIF:
```
data_YCuNi2B
_cell_length_a 4.0758
_cell_length_b 4.0758
_cell_length_c 4.0535
_cell_angle_alpha 90.00
_cell_angle_beta 90.00
_cell_angle_gamma 90.00
_symmetry_space_group_name_H-M 'P 1'
_symmetry_Int_Tables_number 1
_symmetry_space_group_name_Hall 'P 1'
loop_
_atom_site_label
_atom_site_type_symbol
_atom_site_fract_x
_atom_site_fract_y
_atom_site_fract_z
Y1 Y 0.0000 0.0000 0.0000
Cu1 Cu 0.5000 0.5000 0.0000
Ni1 Ni 0.0000 0.5000 0.5000
Ni2 Ni 0.5000 0.0000 0.5000
B1 B 0.5000 0.5000 0.5000
```


[9]
PrEuTl2 | PBE | optimized geometry

Calculated values
calculated total energy = -20.84 eV for the cell shown
SG = R-3m
V = 33.22 Å³/atom
magnetic moment = 7.3 μB/f.u.
ΔH_f (0 K) = -1.06 eV/f.u.
calculated density = 8.769 g/cm3

Cell and atoms, written as CIF:
```
data_PrEuTl2
_cell_length_a 10.3734
_cell_length_b 10.3734
_cell_length_c 10.3734
_cell_angle_alpha 21.63
_cell_angle_beta 21.63
_cell_angle_gamma 21.63
_symmetry_space_group_name_H-M 'P 1'
_symmetry_Int_Tables_number 1
_symmetry_space_group_name_Hall 'P 1'
loop_
_atom_site_label
_atom_site_type_symbol
_atom_site_fract_x
_atom_site_fract_y
_atom_site_fract_z
Pr1 Pr 0.0000 0.0000 0.0000
Eu1 Eu 0.5000 0.5000 0.5000
Tl1 Tl 0.2505 0.2505 0.2505
Tl2 Tl 0.7495 0.7495 0.7495
```


[10]
Dy4Al2TlCd | PBE | optimized geometry

Calculated values
calculated total energy = -31.94 eV for the cell shown
SG = R-3m
V = 25.15 Å³/atom
magnetic moment = 0.0 μB/f.u.
ΔH_f (0 K) = -2.77 eV/f.u.
calculated density = 8.425 g/cm3

Cell and atoms, written as CIF:
```
data_Dy4Al2TlCd
_cell_length_a 9.0374
_cell_length_b 9.0374
_cell_length_c 9.0374
_cell_angle_alpha 33.59
_cell_angle_beta 33.59
_cell_angle_gamma 33.59
_symmetry_space_group_name_H-M 'P 1'
_symmetry_Int_Tables_number 1
_symmetry_space_group_name_Hall 'P 1'
loop_
_atom_site_label
_atom_site_type_symbol
_atom_site_fract_x
_atom_site_fract_y
_atom_site_fract_z
Dy1 Dy 0.1243 0.1243 0.1243
Dy2 Dy 0.3744 0.3744 0.3744
Dy3 Dy 0.6256 0.6256 0.6256
Dy4 Dy 0.8757 0.8757 0.8757
Al1 Al 0.2520 0.2520 0.2520
Al2 Al 0.7480 0.7480 0.7480
Tl1 Tl 0.5000 0.5000 0.5000
Cd1 Cd 0.0000 0.0000 0.0000
```


[11]
Zn3Cu5 | PBE | optimized geometry

Calculated values
calculated total energy = -24.90 eV for the cell shown
SG = Cmmm
V = 12.74 Å³/atom
magnetic moment = 0.0 μB/f.u.
ΔH_f (0 K) = -0.60 eV/f.u.
calculated density = 8.373 g/cm3

Cell and atoms, written as CIF:
```
data_Zn3Cu5
_cell_length_a 5.1620
_cell_length_b 5.1620
_cell_length_c 3.8274
_cell_angle_alpha 90.00
_cell_angle_beta 90.00
_cell_angle_gamma 91.96
_symmetry_space_group_name_H-M 'P 1'
_symmetry_Int_Tables_number 1
_symmetry_space_group_name_Hall 'P 1'
loop_
_atom_site_label
_atom_site_type_symbol
_atom_site_fract_x
_atom_site_fract_y
_atom_site_fract_z
Zn1 Zn 0.0000 0.0000 0.0000
Zn2 Zn 0.2591 0.7409 0.5000
Zn3 Zn 0.7409 0.2591 0.5000
Cu1 Cu 0.0000 0.5000 0.0000
Cu2 Cu 0.2468 0.2468 0.5000
Cu3 Cu 0.5000 0.0000 0.0000
Cu4 Cu 0.5000 0.5000 0.0000
Cu5 Cu 0.7532 0.7532 0.5000
```


[12]
ScBr8 | PBE | optimized geometry

Calculated values
calculated total energy = -21.97 eV for the cell shown
raw formation energy = -251 meV/atom
SG = I4/mmm
V = 39.23 Å³/atom
magnetic moment = 0.0 μB/f.u.
calculated density = 3.218 g/cm3

Cell and atoms, written as CIF:
```
data_ScBr8
_cell_length_a 8.8525
_cell_length_b 8.8525
_cell_length_c 8.8525
_cell_angle_alpha 94.35
_cell_angle_beta 94.35
_cell_angle_gamma 148.03
_symmetry_space_group_name_H-M 'P 1'
_symmetry_Int_Tables_number 1
_symmetry_space_group_name_Hall 'P 1'
loop_
_atom_site_label
_atom_site_type_symbol
_atom_site_fract_x
_atom_site_fract_y
_atom_site_fract_z
Sc1 Sc 0.0000 0.0000 0.0000
Br1 Br 0.0000 0.2190 0.2190
Br2 Br 0.0000 0.7810 0.7810
Br3 Br 0.2190 0.0000 0.2190
Br4 Br 0.3537 0.3537 0.7073
Br5 Br 0.3537 0.6463 0.0000
Br6 Br 0.6463 0.3537 0.0000
Br7 Br 0.6463 0.6463 0.2927
Br8 Br 0.7810 0.0000 0.7810
```


[13]
YHoIO6 | PBE | optimized geometry

Calculated values
calculated total energy = -121.46 eV for the cell shown
raw formation energy = -2043 meV/atom
SG = P-31c
V = 14.39 Å³/atom
magnetic moment = 0.1 μB/f.u.
calculated density = 6.113 g/cm3

Cell and atoms, written as CIF:
```
data_YHoIO6
_cell_length_a 5.5993
_cell_length_b 5.5993
_cell_length_c 9.5384
_cell_angle_alpha 90.00
_cell_angle_beta 90.00
_cell_angle_gamma 120.00
_symmetry_space_group_name_H-M 'P 1'
_symmetry_Int_Tables_number 1
_symmetry_space_group_name_Hall 'P 1'
loop_
_atom_site_label
_atom_site_type_symbol
_atom_site_fract_x
_atom_site_fract_y
_atom_site_fract_z
Y1 Y 0.0000 0.0000 0.0000
Y2 Y 0.0000 0.0000 0.5000
Ho1 Ho 0.3333 0.6667 0.2500
Ho2 Ho 0.6667 0.3333 0.7500
I1 I 0.3333 0.6667 0.7500
I2 I 0.6667 0.3333 0.2500
O1 O 0.0334 0.3632 0.6340
O2 O 0.0334 0.6701 0.8660
O3 O 0.3299 0.3632 0.8660
O4 O 0.3299 0.9666 0.6340
O5 O 0.3632 0.0334 0.1340
O6 O 0.3632 0.3299 0.3660
O7 O 0.6368 0.6701 0.6340
O8 O 0.6368 0.9666 0.8660
O9 O 0.6701 0.0334 0.3660
O10 O 0.6701 0.6368 0.1340
O11 O 0.9666 0.3299 0.1340
O12 O 0.9666 0.6368 0.3660
```


[14]
ZrReBi3 | PBE | optimized geometry

Calculated values
calculated total energy = -27.19 eV for the cell shown
SG = Pm-3m
V = 30.46 Å³/atom
magnetic moment = 2.4 μB/f.u.
ΔH_f (0 K) = 5.44 eV/f.u.
calculated density = 9.862 g/cm3

Cell and atoms, written as CIF:
```
data_ZrReBi3
_cell_length_a 5.3401
_cell_length_b 5.3401
_cell_length_c 5.3401
_cell_angle_alpha 90.00
_cell_angle_beta 90.00
_cell_angle_gamma 90.00
_symmetry_space_group_name_H-M 'P 1'
_symmetry_Int_Tables_number 1
_symmetry_space_group_name_Hall 'P 1'
loop_
_atom_site_label
_atom_site_type_symbol
_atom_site_fract_x
_atom_site_fract_y
_atom_site_fract_z
Zr1 Zr 0.0000 0.0000 0.0000
Re1 Re 0.5000 0.5000 0.5000
Bi1 Bi 0.0000 0.5000 0.5000
Bi2 Bi 0.5000 0.0000 0.5000
Bi3 Bi 0.5000 0.5000 0.0000
```